Entry 1:
Here is a crystal of BeCdOF2 relaxed with PBEsol from Alexandria. Energies are from meta-GGA SCAN.

Calculated values
energy relative to the elements, uncorrected: -52.8 kcal/mol of atoms
total DFT energy (no corrections): -0.87499 Ry/atom

Cell lengths 3.357, 3.357, 4.141 Å; angles 90.00, 90.00, 90.00 degrees
Sites, in units of the cell vectors:
Be: 0.000 0.000 0.000
Cd: 0.500 0.500 0.500
O: 0.000 0.000 0.500
F: 0.000 0.500 0.000
F: 0.500 0.000 0.000

***

Entry 2:
Here is a crystal of MnTlIn2I relaxed with PBEsol from Alexandria. Energies are from meta-GGA SCAN.

Calculated values
energy relative to the elements, uncorrected: 6.1 kcal/mol of atoms
total DFT energy (no corrections): -2.83428 Ry/atom

Cell lengths 5.720, 5.720, 5.231 Å; angles 90.00, 90.00, 90.00 degrees
Sites, in units of the cell vectors:
Mn: 0.000 0.000 0.000
Tl: 0.000 0.000 0.500
In: 0.000 0.500 0.500
In: 0.500 0.000 0.500
I: 0.500 0.500 0.000

***

Entry 3:
Here is a crystal of HoCo3P2 relaxed with PBEsol from Alexandria. Energies are from meta-GGA SCAN.

Calculated values
ΔE_f: -0.91 eV per atom
total DFT energy (no corrections): -1.55755 Ry/atom

Cell lengths 3.629, 10.363, 12.000 Å; angles 90.00, 90.00, 90.00 degrees
Sites, in units of the cell vectors:
Ho: 0.250 0.067 0.206
Ho: 0.250 0.250 0.477
Ho: 0.250 0.433 0.206
Ho: 0.750 0.567 0.794
Ho: 0.750 0.750 0.523
Ho: 0.750 0.933 0.794
Co: 0.250 0.129 0.709
Co: 0.250 0.250 0.014
Co: 0.250 0.371 0.709
Co: 0.250 0.548 0.431
Co: 0.250 0.583 0.995
Co: 0.250 0.750 0.159
Co: 0.250 0.750 0.703
Co: 0.250 0.917 0.995
Co: 0.250 0.952 0.431
Co: 0.750 0.048 0.569
Co: 0.750 0.083 0.005
Co: 0.750 0.250 0.297
Co: 0.750 0.250 0.841
Co: 0.750 0.417 0.005
Co: 0.750 0.452 0.569
Co: 0.750 0.629 0.291
Co: 0.750 0.750 0.986
Co: 0.750 0.871 0.291
P: 0.250 0.098 0.893
P: 0.250 0.402 0.893
P: 0.250 0.561 0.616
P: 0.250 0.750 0.344
P: 0.250 0.750 0.882
P: 0.250 0.939 0.616
P: 0.750 0.061 0.384
P: 0.750 0.250 0.118
P: 0.750 0.250 0.656
P: 0.750 0.439 0.384
P: 0.750 0.598 0.107
P: 0.750 0.902 0.107

***

Entry 4:
Here is a crystal of La2SbRh relaxed with PBEsol from Alexandria. Energies are from meta-GGA SCAN.

Calculated values
energy relative to the elements, uncorrected: -20.2 kcal/mol of atoms
total DFT energy (no corrections): -2.95363 Ry/atom

Cell lengths 3.572, 3.572, 7.956 Å; angles 90.00, 90.00, 90.00 degrees
Sites, in units of the cell vectors:
La: 0.000 0.000 0.216
La: 0.000 0.000 0.784
Sb: 0.500 0.500 0.500
Rh: 0.500 0.500 0.000

***

Entry 5:
Here is a crystal of Cd3Au relaxed with PBEsol from Alexandria. Energies are from meta-GGA SCAN.

Calculated values
ΔE_f: -0.09 eV per atom
total DFT energy (no corrections): -2.95419 Ry/atom

Cell lengths 4.766, 4.766, 4.766 Å; angles 60.00, 60.00, 60.00 degrees
Sites, in units of the cell vectors:
Cd: 0.000 0.000 0.000
Cd: 0.250 0.250 0.250
Cd: 0.750 0.750 0.750
Au: 0.500 0.500 0.500

***

Entry 6:
Here is a crystal of DyAlCo4 relaxed with PBEsol from Alexandria. Energies are from meta-GGA SCAN.

Calculated values
energy relative to the lowest polymorph listed for this composition: 0.022 eV per atom
ΔE_f: -0.21 eV per atom
total DFT energy (no corrections): -1.54414 Ry/atom

Cell lengths 4.954, 4.954, 3.826 Å; angles 90.00, 90.00, 120.00 degrees
Sites, in units of the cell vectors:
Dy: 0.000 0.000 0.000
Al: 0.667 0.333 0.000
Co: 0.008 0.504 0.500
Co: 0.333 0.667 0.000
Co: 0.496 0.504 0.500
Co: 0.496 0.992 0.500

***

Entry 7:
Here is a crystal of PmTmRu2 relaxed with PBEsol from Alexandria. Energies are from meta-GGA SCAN.

Calculated values
ΔE_f: -0.35 eV per atom
total DFT energy (no corrections): -3.06626 Ry/atom

Cell lengths 4.756, 4.756, 4.756 Å; angles 60.00, 60.00, 60.00 degrees
Sites, in units of the cell vectors:
Pm: 0.000 0.000 0.000
Tm: 0.500 0.500 0.500
Ru: 0.250 0.250 0.250
Ru: 0.750 0.750 0.750

***

Entry 8:
Here is a crystal of TcPd2Rh relaxed with PBEsol from Alexandria. Energies are from meta-GGA SCAN.

Calculated values
ΔE_f: 0.36 eV per atom
total DFT energy (no corrections): -2.44239 Ry/atom

Cell lengths 4.315, 4.315, 4.315 Å; angles 60.00, 60.00, 60.00 degrees
Sites, in units of the cell vectors:
Tc: 0.000 0.000 0.000
Pd: 0.250 0.250 0.250
Pd: 0.750 0.750 0.750
Rh: 0.500 0.500 0.500

***

Magnetization: 0.00 4.81 0.99 0.00 0.00 5.17 0.00 0.00 (μB per formula unit)